[1]
First-principles (PBE) data for a relaxed structure of Sr3Y, as listed in the Alexandria database. Values from VASP.

Output
DFT formation energy, eV per atom: 0.15
Magnetic moment, Bohr magnetons per cell: 1.3
Energy above the lowest structure with this stoichiometry, meV per atom: 13
DFT total energy, eV/f.u.: -10.91

```
&SYSTEM
  ibrav = 0, nat = 4, ntyp = 2
/
ATOMIC_SPECIES
Sr 87.62 Sr.upf
Y 88.91 Y.upf
CELL_PARAMETERS angstrom
2.012 1.162 13.375
-2.012 1.162 13.375
0.000 -2.323 13.375
ATOMIC_POSITIONS angstrom
Sr 0.000 0.000 0.000
Sr 0.000 0.000 9.766
Sr 0.000 0.000 30.357
Y 0.000 0.000 20.062
```


[2]
First-principles (PBE) data for a relaxed structure of Sr5Y, as listed in the Alexandria database. Values from VASP.

Output
DFT formation energy, eV per atom: 0.14
Magnetic moment, Bohr magnetons per cell: 1.3
Energy above the lowest structure with this stoichiometry, meV per atom: 22
DFT total energy, eV/f.u.: -14.04

```
&SYSTEM
  ibrav = 0, nat = 6, ntyp = 2
/
ATOMIC_SPECIES
Sr 87.62 Sr.upf
Y 88.91 Y.upf
CELL_PARAMETERS angstrom
7.117 0.000 0.000
-3.558 6.163 0.000
0.000 0.000 6.717
ATOMIC_POSITIONS angstrom
Sr -2.415 4.182 0.000
Sr 1.144 1.981 0.000
Sr 0.000 4.109 3.359
Sr 3.558 2.054 3.359
Sr 4.829 0.000 0.000
Y 0.000 0.000 3.359
```


[3]
First-principles (PBE) data for a relaxed structure of SrY3, as listed in the Alexandria database. Values from VASP.

Output
DFT formation energy, eV per atom: 0.35
Magnetic moment, Bohr magnetons per cell: 5.2
DFT total energy, eV/f.u.: -19.66

```
&SYSTEM
  ibrav = 0, nat = 8, ntyp = 2
/
ATOMIC_SPECIES
Sr 87.62 Sr.upf
Y 88.91 Y.upf
CELL_PARAMETERS angstrom
6.666 0.000 0.000
0.000 6.666 0.000
0.000 0.000 6.666
ATOMIC_POSITIONS angstrom
Sr 0.000 0.000 0.000
Sr 3.333 3.333 3.333
Y 0.000 1.666 3.333
Y 0.000 4.999 3.333
Y 1.666 3.333 0.000
Y 3.333 0.000 1.666
Y 3.333 0.000 4.999
Y 4.999 3.333 0.000
```


[4]
First-principles (PBE) data for a relaxed structure of SrY2, as listed in the Alexandria database. Values from VASP.

Output
DFT formation energy, eV per atom: 0.19
Magnetic moment, Bohr magnetons per cell: 2.4
Energy above the lowest structure with this stoichiometry, meV per atom: 64
DFT total energy, eV/f.u.: -14.03

```
&SYSTEM
  ibrav = 0, nat = 6, ntyp = 2
/
ATOMIC_SPECIES
Sr 87.62 Sr.upf
Y 88.91 Y.upf
CELL_PARAMETERS angstrom
1.864 -9.825 0.000
1.864 9.825 0.000
0.000 0.000 6.142
ATOMIC_POSITIONS angstrom
Sr 1.864 7.631 4.606
Sr 1.864 -7.631 1.535
Y 1.864 5.520 1.535
Y 1.864 1.161 4.606
Y 1.864 -1.161 1.535
Y 1.864 -5.520 4.606
```


[5]
First-principles (PBE) data for a relaxed structure of SrY, as listed in the Alexandria database. Values from VASP.

Output
DFT formation energy, eV per atom: 0.43
Magnetic moment, Bohr magnetons per cell: 0.0
Energy above the lowest structure with this stoichiometry, meV per atom: 320
DFT total energy, eV/f.u.: -7.29

```
&SYSTEM
  ibrav = 0, nat = 8, ntyp = 2
/
ATOMIC_SPECIES
Sr 87.62 Sr.upf
Y 88.91 Y.upf
CELL_PARAMETERS angstrom
6.185 0.000 0.000
-3.092 5.356 0.000
0.000 0.000 10.224
ATOMIC_POSITIONS angstrom
Sr 0.000 0.000 2.556
Sr 0.000 0.000 7.668
Sr 0.000 3.571 2.556
Sr 3.092 1.785 7.668
Y 0.000 3.571 6.005
Y 0.000 3.571 9.331
Y 3.092 1.785 0.893
Y 3.092 1.785 4.219
```


[6]
First-principles (PBE) data for a relaxed structure of SrY3, as listed in the Alexandria database. Values from VASP.

Output
DFT formation energy, eV per atom: 0.15
Magnetic moment, Bohr magnetons per cell: 0.0
DFT total energy, eV/f.u.: -20.46

```
&SYSTEM
  ibrav = 0, nat = 4, ntyp = 2
/
ATOMIC_SPECIES
Sr 87.62 Sr.upf
Y 88.91 Y.upf
CELL_PARAMETERS angstrom
-1.860 5.958 3.248
1.860 -5.958 3.248
1.860 5.958 -3.248
ATOMIC_POSITIONS angstrom
Sr 0.000 0.000 0.000
Y 1.860 3.136 -1.007
Y 0.000 5.958 0.031
Y 0.000 2.822 2.241
```


[7]
First-principles (PBE) data for a relaxed structure of SrY, as listed in the Alexandria database. Values from VASP.

Output
DFT formation energy, eV per atom: 0.25
Magnetic moment, Bohr magnetons per cell: 0.6
Energy above the lowest structure with this stoichiometry, meV per atom: 145
DFT total energy, eV/f.u.: -7.64

```
&SYSTEM
  ibrav = 0, nat = 4, ntyp = 2
/
ATOMIC_SPECIES
Sr 87.62 Sr.upf
Y 88.91 Y.upf
CELL_PARAMETERS angstrom
0.000 4.314 4.314
4.314 0.000 4.314
4.314 4.314 0.000
ATOMIC_POSITIONS angstrom
Sr 1.079 1.079 1.079
Sr 7.550 7.550 7.550
Y 3.236 3.236 3.236
Y 5.393 5.393 5.393
```


[8]
First-principles (PBE) data for a relaxed structure of SrY3, as listed in the Alexandria database. Values from VASP.

Output
DFT formation energy, eV per atom: 0.17
Magnetic moment, Bohr magnetons per cell: 3.1
DFT total energy, eV/f.u.: -20.38

```
&SYSTEM
  ibrav = 0, nat = 8, ntyp = 2
/
ATOMIC_SPECIES
Sr 87.62 Sr.upf
Y 88.91 Y.upf
CELL_PARAMETERS angstrom
7.508 0.000 0.000
-3.754 6.502 0.000
0.000 0.000 5.935
ATOMIC_POSITIONS angstrom
Sr 0.000 4.335 1.484
Sr 3.754 2.167 4.451
Y 0.000 2.094 4.451
Y -1.941 5.455 4.451
Y 1.813 1.047 1.484
Y 1.941 5.455 4.451
Y 5.695 1.047 1.484
Y 3.754 4.408 1.484
```


[9]
First-principles (PBE) data for a relaxed structure of Sr3Y, as listed in the Alexandria database. Values from VASP.

Output
DFT formation energy, eV per atom: 0.20
Magnetic moment, Bohr magnetons per cell: 0.9
Energy above the lowest structure with this stoichiometry, meV per atom: 67
DFT total energy, eV/f.u.: -10.69

```
&SYSTEM
  ibrav = 0, nat = 4, ntyp = 2
/
ATOMIC_SPECIES
Sr 87.62 Sr.upf
Y 88.91 Y.upf
CELL_PARAMETERS angstrom
-2.860 2.860 5.717
2.860 -2.860 5.717
2.860 2.860 -5.717
ATOMIC_POSITIONS angstrom
Sr 0.000 0.000 0.000
Sr 2.860 0.000 2.858
Sr 0.000 2.860 2.858
Y 0.000 0.000 5.717
```


[10]
First-principles (PBE) data for a relaxed structure of SrY2, as listed in the Alexandria database. Values from VASP.

Output
DFT formation energy, eV per atom: 0.13
Magnetic moment, Bohr magnetons per cell: 0.2
Energy above the lowest structure with this stoichiometry, meV per atom: 0
DFT total energy, eV/f.u.: -14.22

```
&SYSTEM
  ibrav = 0, nat = 6, ntyp = 2
/
ATOMIC_SPECIES
Sr 87.62 Sr.upf
Y 88.91 Y.upf
CELL_PARAMETERS angstrom
1.867 -10.309 0.000
1.867 10.309 0.000
0.000 0.000 5.887
ATOMIC_POSITIONS angstrom
Sr 1.867 5.952 4.416
Sr 1.867 -5.952 1.472
Y 1.867 8.255 1.472
Y 1.867 0.954 1.472
Y 1.867 -0.954 4.416
Y 1.867 -8.255 4.416
```


[11]
First-principles (PBE) data for a relaxed structure of SrY2, as listed in the Alexandria database. Values from VASP.

Output
DFT formation energy, eV per atom: 0.13
Magnetic moment, Bohr magnetons per cell: 0.0
Energy above the lowest structure with this stoichiometry, meV per atom: 2
DFT total energy, eV/f.u.: -14.21

```
&SYSTEM
  ibrav = 0, nat = 3, ntyp = 2
/
ATOMIC_SPECIES
Sr 87.62 Sr.upf
Y 88.91 Y.upf
CELL_PARAMETERS angstrom
-1.875 1.875 8.062
1.875 -1.875 8.062
1.875 1.875 -8.062
ATOMIC_POSITIONS angstrom
Sr 0.000 0.000 0.000
Y 0.000 0.000 5.154
Y 0.000 0.000 10.970
```


[12]
First-principles (PBE) data for a relaxed structure of SrY, as listed in the Alexandria database. Values from VASP.

Output
DFT formation energy, eV per atom: 0.37
Magnetic moment, Bohr magnetons per cell: 3.2
Energy above the lowest structure with this stoichiometry, meV per atom: 257
DFT total energy, eV/f.u.: -7.41

```
&SYSTEM
  ibrav = 0, nat = 8, ntyp = 2
/
ATOMIC_SPECIES
Sr 87.62 Sr.upf
Y 88.91 Y.upf
CELL_PARAMETERS angstrom
6.913 0.000 0.000
0.000 6.913 0.000
0.000 0.000 6.913
ATOMIC_POSITIONS angstrom
Sr 0.667 2.789 4.124
Sr 2.789 4.124 0.667
Sr 4.124 0.667 2.789
Sr 6.246 6.246 6.246
Y 0.716 6.197 2.741
Y 2.741 0.716 6.197
Y 4.172 4.172 4.172
Y 6.197 2.741 0.716
```


[13]
First-principles (PBE) data for a relaxed structure of SrY2, as listed in the Alexandria database. Values from VASP.

Output
DFT formation energy, eV per atom: 0.23
Magnetic moment, Bohr magnetons per cell: 0.0
Energy above the lowest structure with this stoichiometry, meV per atom: 103
DFT total energy, eV/f.u.: -13.91

```
&SYSTEM
  ibrav = 0, nat = 6, ntyp = 2
/
ATOMIC_SPECIES
Sr 87.62 Sr.upf
Y 88.91 Y.upf
CELL_PARAMETERS angstrom
0.000 4.931 4.931
4.931 0.000 4.931
4.931 4.931 0.000
ATOMIC_POSITIONS angstrom
Sr 1.233 1.233 1.233
Sr 8.630 8.630 8.630
Y 4.931 2.466 2.466
Y 2.466 4.931 2.466
Y 2.466 2.466 4.931
Y 4.931 4.931 4.931
```


[14]
First-principles (PBE) data for a relaxed structure of Sr5Y, as listed in the Alexandria database. Values from VASP.

Output
DFT formation energy, eV per atom: 0.12
Magnetic moment, Bohr magnetons per cell: 0.0
Energy above the lowest structure with this stoichiometry, meV per atom: 0
DFT total energy, eV/f.u.: -14.17

```
&SYSTEM
  ibrav = 0, nat = 6, ntyp = 2
/
ATOMIC_SPECIES
Sr 87.62 Sr.upf
Y 88.91 Y.upf
CELL_PARAMETERS angstrom
3.291 -9.893 0.000
3.291 9.893 0.000
0.000 0.000 4.425
ATOMIC_POSITIONS angstrom
Sr 0.000 0.000 0.000
Sr 3.291 6.522 2.212
Sr 3.291 3.031 0.000
Sr 3.291 -3.031 0.000
Sr 3.291 -6.522 2.212
Y 3.291 0.000 2.212
```